(1)
First-principles (GGA-PBE) data for crystalline Zr4SnAsN2 at its relaxed geometry, as listed in OQMD.

Cell: 3.387 3.387 13.489 Å, 90.00 90.00 120.00°
Positions (direct):
Sn 0.667 0.333 0.500
N 0.333 0.667 0.234
As 0.000 0.000 0.000
N 0.333 0.667 0.766
Zr 0.667 0.333 0.858
Zr 0.000 0.000 0.324
Zr 0.000 0.000 0.676
Zr 0.667 0.333 0.142

Properties
Space group: P-6m2, No. 187
Spin magnetization: 0.01 μB per cell
Theoretical density: 7.266 g/cm³
VASP energy: -69.27 eV per cell
Crystal system: hexagonal

---

(2)
First-principles (GGA-PBE) data for crystalline Zr4SnAsN2 at its relaxed geometry, as listed in OQMD.

Cell: 3.387 3.387 13.489 Å, 90.00 90.00 120.00°
Positions (direct):
Zr 0.333 0.667 0.176
N 0.000 0.000 0.266
Zr 0.667 0.333 0.358
Zr 0.333 0.667 0.824
As 0.333 0.667 0.500
Sn 0.667 0.333 0.000
Zr 0.667 0.333 0.642
N 0.000 0.000 0.734

Properties
Space group: P-6m2, No. 187
Spin magnetization: 0.01 μB per cell
Theoretical density: 7.266 g/cm³
VASP energy: -69.27 eV per cell
Crystal system: hexagonal

---

(3)
First-principles (GGA-PBE) data for crystalline Sr2AsWN6 at its relaxed geometry, as listed in OQMD.

Cell: 5.582 5.582 5.582 Å, 59.62 59.62 59.62°
Positions (direct):
N 0.245 0.757 0.247
Sr 0.748 0.748 0.748
N 0.756 0.758 0.246
W 0.493 0.493 0.493
N 0.246 0.756 0.758
As 0.000 0.000 0.000
N 0.757 0.247 0.245
Sr 0.249 0.249 0.249
N 0.758 0.246 0.756
N 0.247 0.245 0.757

Properties
Space group: R3, No. 146
Spin magnetization: 0.00 μB per cell
Theoretical density: 7.055 g/cm³
VASP energy: -71.12 eV per cell
Crystal system: trigonal

---

(4)
First-principles (GGA-PBE) data for crystalline TaAs2N at its relaxed geometry, as listed in OQMD.

Cell: 3.067 3.067 14.076 Å, 90.00 90.00 120.00°
Positions (direct):
Ta 0.667 0.333 0.250
N 0.000 0.000 0.500
As 0.667 0.333 0.602
Ta 0.333 0.667 0.750
As 0.333 0.667 0.102
N 0.000 0.000 0.000
As 0.333 0.667 0.398
As 0.667 0.333 0.898

Properties
Space group: P6_3/mmc, No. 194
Spin magnetization: 0.03 μB per cell
Theoretical density: 9.987 g/cm³
VASP energy: -53.73 eV per cell
Crystal system: hexagonal

---

(5)
First-principles (GGA-PBE) data for crystalline Ta4AsN3 at its relaxed geometry, as listed in OQMD.

Cell: 3.149 3.149 22.864 Å, 90.00 90.00 120.00°
Positions (direct):
N 0.333 0.667 0.609
As 0.333 0.667 0.250
N 0.667 0.333 0.109
Ta 0.667 0.333 0.553
Ta 0.333 0.667 0.447
As 0.667 0.333 0.750
Ta 0.000 0.000 0.667
Ta 0.667 0.333 0.947
Ta 0.000 0.000 0.167
Ta 0.000 0.000 0.833
N 0.333 0.667 0.891
N 0.000 0.000 0.000
Ta 0.000 0.000 0.333
N 0.000 0.000 0.500
N 0.667 0.333 0.391
Ta 0.333 0.667 0.053

Properties
Space group: P6_3/mmc, No. 194
Spin magnetization: 0.00 μB per cell
Theoretical density: 14.219 g/cm³
VASP energy: -165.07 eV per cell
Crystal system: hexagonal

---

(6)
First-principles (GGA-PBE) data for crystalline Ta4TlAsN2 at its relaxed geometry, as listed in OQMD.

Cell: 3.281 3.281 12.912 Å, 90.00 90.00 120.00°
Positions (direct):
Ta 0.000 0.000 0.816
Ta 0.333 0.667 0.645
As 0.000 0.000 0.500
N 0.667 0.333 0.734
Tl 0.333 0.667 0.000
Ta 0.000 0.000 0.184
Ta 0.333 0.667 0.355
N 0.667 0.333 0.266

Properties
Space group: P-6m2, No. 187
Spin magnetization: 0.00 μB per cell
Theoretical density: 14.221 g/cm³
VASP energy: -74.44 eV per cell
Crystal system: hexagonal

---

(7)
First-principles (GGA-PBE) data for crystalline Y4Ta2As3N3 at its relaxed geometry, as listed in OQMD.

Cell: 6.063 6.063 13.209 Å, 103.26 103.26 60.65°
Positions (direct):
N 0.188 0.657 0.000
Y 0.298 0.124 0.395
N 0.657 0.188 0.500
As 0.707 0.582 0.748
Ta 0.358 0.528 0.582
Ta 0.642 0.472 0.418
As 0.293 0.418 0.252
N 0.500 0.000 0.000
Y 0.196 0.042 0.105
As 0.130 0.870 0.750
Y 0.042 0.196 0.605
Y 0.804 0.958 0.895
As 0.418 0.293 0.752
N 0.812 0.343 0.000
Y 0.876 0.702 0.105
As 0.870 0.130 0.250
Y 0.124 0.298 0.895
Ta 0.472 0.642 0.918
N 0.343 0.812 0.500
As 0.582 0.707 0.248
Y 0.702 0.876 0.605
Ta 0.528 0.358 0.082
Y 0.958 0.804 0.395
N 0.000 0.500 0.500

Properties
Space group: C2/c, No. 15
Spin magnetization: 0.00 μB per cell
Theoretical density: 8.011 g/cm³
VASP energy: -204.03 eV per cell
Crystal system: monoclinic

---

(8)
First-principles (GGA-PBE) data for crystalline Tb3AsN2 at its relaxed geometry, as listed in OQMD.

Cell: 3.609 3.609 9.426 Å, 90.00 90.00 120.00°
Positions (direct):
Tb 0.667 0.333 0.209
N 0.667 0.333 0.651
Tb 0.000 0.000 0.500
Tb 0.333 0.667 0.791
N 0.333 0.667 0.349
As 0.000 0.000 0.000

Properties
Space group: P-3m1, No. 164
Spin magnetization: 0.00 μB per cell
Theoretical density: 9.053 g/cm³
VASP energy: -44.02 eV per cell
Crystal system: trigonal

---

(9)
First-principles (GGA-PBE) data for crystalline Tb3As2N at its relaxed geometry, as listed in OQMD.

Cell: 3.869 3.869 9.811 Å, 90.00 90.00 120.00°
Positions (direct):
Tb 0.333 0.667 0.864
As 0.667 0.333 0.680
As 0.333 0.667 0.320
Tb 0.667 0.333 0.136
Tb 0.000 0.000 0.500
N 0.000 0.000 0.000

Properties
Space group: P-3m1, No. 164
Spin magnetization: 0.00 μB per cell
Theoretical density: 8.362 g/cm³
VASP energy: -39.95 eV per cell
Crystal system: trigonal

---

(10)
First-principles (GGA-PBE) data for crystalline Tb3As3W2N12 at its relaxed geometry, as listed in OQMD.

Cell: 10.785 10.785 10.785 Å, 109.47 109.47 109.47°
Positions (direct):
Tb 0.625 0.250 0.875
W 0.500 0.000 0.500
N 0.115 0.019 0.203
N 0.404 0.088 0.885
N 0.588 0.904 0.385
W 0.000 0.500 0.500
W 0.500 0.500 0.500
As 0.875 0.250 0.125
Tb 0.750 0.625 0.875
As 0.250 0.125 0.875
N 0.615 0.703 0.519
N 0.096 0.615 0.412
As 0.625 0.375 0.250
As 0.250 0.625 0.375
Tb 0.125 0.375 0.750
As 0.875 0.125 0.750
N 0.885 0.404 0.088
W 0.000 0.000 0.500
As 0.375 0.250 0.625
N 0.703 0.684 0.088
N 0.385 0.297 0.481
N 0.797 0.885 0.981
Tb 0.250 0.875 0.625
N 0.797 0.412 0.816
N 0.981 0.797 0.885
N 0.481 0.385 0.297
N 0.404 0.816 0.519
N 0.684 0.088 0.703
N 0.596 0.184 0.481
N 0.019 0.316 0.904
N 0.088 0.703 0.684
As 0.375 0.625 0.750
N 0.519 0.615 0.703
Tb 0.375 0.750 0.125
N 0.981 0.684 0.096
Tb 0.125 0.250 0.375
Tb 0.875 0.625 0.250
N 0.297 0.316 0.912
N 0.203 0.588 0.184
As 0.625 0.750 0.375
N 0.297 0.481 0.385
N 0.703 0.519 0.615
N 0.481 0.596 0.184
N 0.088 0.885 0.404
W 0.500 0.500 0.000
N 0.412 0.816 0.797
As 0.125 0.750 0.875
N 0.316 0.904 0.019
Tb 0.625 0.875 0.750
Tb 0.875 0.750 0.625
N 0.316 0.912 0.297
W 0.000 0.000 0.000
N 0.816 0.519 0.404
As 0.750 0.875 0.125
W 0.500 0.000 0.000
Tb 0.375 0.125 0.250
N 0.184 0.203 0.588
N 0.912 0.297 0.316
W 0.000 0.500 0.000
N 0.912 0.115 0.596
N 0.684 0.096 0.981
N 0.596 0.912 0.115
N 0.519 0.404 0.816
N 0.184 0.481 0.596
N 0.904 0.019 0.316
Tb 0.250 0.375 0.125
N 0.904 0.385 0.588
N 0.115 0.596 0.912
N 0.588 0.184 0.203
Tb 0.750 0.125 0.375
As 0.125 0.875 0.250
As 0.750 0.375 0.625
N 0.615 0.412 0.096
N 0.816 0.797 0.412
N 0.019 0.203 0.115
N 0.412 0.096 0.615
N 0.385 0.588 0.904
N 0.885 0.981 0.797
N 0.203 0.115 0.019
N 0.096 0.981 0.684

Properties
Space group: Ia-3d, No. 230
Spin magnetization: 0.01 μB per cell
Theoretical density: 8.509 g/cm³
VASP energy: -653.14 eV per cell
Crystal system: cubic

---

(11)
First-principles (GGA-PBE) data for crystalline Th3AsN3 at its relaxed geometry, as listed in OQMD.

Cell: 8.233 8.233 8.233 Å, 50.10 50.10 50.10°
Positions (direct):
As 0.833 0.833 0.833
Th 0.250 0.951 0.595
N 0.939 0.302 0.632
N 0.302 0.632 0.939
Th 0.750 0.049 0.405
Th 0.405 0.750 0.049
N 0.061 0.698 0.368
Th 0.049 0.405 0.750
N 0.698 0.368 0.061
N 0.368 0.061 0.698
N 0.632 0.939 0.302
Th 0.951 0.595 0.250
As 0.167 0.167 0.167
Th 0.595 0.250 0.951

Properties
Space group: R-3, No. 148
Spin magnetization: 0.00 μB per cell
Theoretical density: 8.932 g/cm³
VASP energy: -126.03 eV per cell
Crystal system: trigonal

---

(12)
First-principles (GGA-PBE) data for crystalline Zr4TlAsN2 at its relaxed geometry, as listed in OQMD.

Cell: 3.390 3.390 13.630 Å, 90.00 90.00 120.00°
Positions (direct):
Tl 0.667 0.333 0.500
Zr 0.667 0.333 0.860
Zr 0.000 0.000 0.319
Zr 0.667 0.333 0.140
Zr 0.000 0.000 0.681
N 0.333 0.667 0.767
N 0.333 0.667 0.233
As 0.000 0.000 0.000

Properties
Space group: P-6m2, No. 187
Spin magnetization: 0.01 μB per cell
Theoretical density: 8.230 g/cm³
VASP energy: -67.12 eV per cell
Crystal system: hexagonal

---

(13)
First-principles (GGA-PBE) data for crystalline Tm3As2N at its relaxed geometry, as listed in OQMD.

Cell: 3.783 3.783 9.631 Å, 90.00 90.00 120.00°
Positions (direct):
N 0.000 0.000 0.000
As 0.667 0.333 0.681
As 0.333 0.667 0.319
Tm 0.667 0.333 0.135
Tm 0.333 0.667 0.865
Tm 0.000 0.000 0.500

Properties
Space group: P-3m1, No. 164
Spin magnetization: 0.01 μB per cell
Theoretical density: 9.328 g/cm³
VASP energy: -39.53 eV per cell
Crystal system: trigonal

---

(14)
First-principles (GGA-PBE) data for crystalline Tm3AsN2 at its relaxed geometry, as listed in OQMD.

Cell: 3.509 3.509 9.261 Å, 90.00 90.00 120.00°
Positions (direct):
N 0.333 0.667 0.350
Tm 0.000 0.000 0.500
N 0.667 0.333 0.650
Tm 0.667 0.333 0.212
Tm 0.333 0.667 0.788
As 0.000 0.000 0.000

Properties
Space group: P-3m1, No. 164
Spin magnetization: 0.00 μB per cell
Theoretical density: 10.254 g/cm³
VASP energy: -44.04 eV per cell
Crystal system: trigonal

---

(15)
First-principles (GGA-PBE) data for crystalline AsW2N at its relaxed geometry, as listed in OQMD.

Cell: 2.987 2.987 13.486 Å, 90.00 90.00 120.00°
Positions (direct):
W 0.333 0.667 0.102
As 0.667 0.333 0.250
W 0.667 0.333 0.602
N 0.000 0.000 0.500
W 0.667 0.333 0.898
N 0.000 0.000 0.000
W 0.333 0.667 0.398
As 0.333 0.667 0.750

Properties
Space group: P6_3/mmc, No. 194
Spin magnetization: 0.00 μB per cell
Theoretical density: 14.556 g/cm³
Polymorph energy (0 for the lowest one): 12.0 kJ per mole of atoms
Crystal system: hexagonal

---

(16)
First-principles (GGA-PBE) data for crystalline AsW4N3 at its relaxed geometry, as listed in OQMD.

Cell: 3.129 3.129 22.289 Å, 90.00 90.00 120.00°
Positions (direct):
As 0.667 0.333 0.750
W 0.667 0.333 0.951
N 0.000 0.000 0.000
N 0.333 0.667 0.893
N 0.667 0.333 0.393
N 0.667 0.333 0.107
N 0.000 0.000 0.500
W 0.333 0.667 0.049
W 0.333 0.667 0.451
W 0.000 0.000 0.163
As 0.333 0.667 0.250
W 0.000 0.000 0.837
W 0.000 0.000 0.337
W 0.000 0.000 0.663
N 0.333 0.667 0.607
W 0.667 0.333 0.549

Properties
Space group: P6_3/mmc, No. 194
Spin magnetization: 0.01 μB per cell
Theoretical density: 14.977 g/cm³
VASP energy: -157.66 eV per cell
Crystal system: hexagonal

---

(17)
First-principles (GGA-PBE) data for crystalline AsW2N at its relaxed geometry, as listed in OQMD.

Cell: 5.517 5.517 13.037 Å, 106.29 106.29 59.84°
Positions (direct):
W 0.434 0.412 0.111
W 0.823 0.954 0.915
N 0.651 0.246 0.468
W 0.850 0.698 0.092
As 0.195 0.445 0.259
As 0.445 0.195 0.759
As 0.555 0.805 0.241
W 0.698 0.850 0.592
N 0.349 0.754 0.532
W 0.588 0.566 0.389
W 0.150 0.302 0.908
W 0.566 0.588 0.889
W 0.302 0.150 0.408
As 0.109 0.891 0.750
As 0.805 0.555 0.741
N 0.246 0.651 0.968
W 0.177 0.046 0.085
W 0.412 0.434 0.611
As 0.891 0.109 0.250
N 0.500 0.000 0.000
N 0.754 0.349 0.032
N 0.000 0.500 0.500
W 0.954 0.823 0.415
W 0.046 0.177 0.585

Properties
Space group: C2/c, No. 15
Spin magnetization: 0.00 μB per cell
Theoretical density: 14.015 g/cm³
Polymorph energy (0 for the lowest one): 0.0 kJ per mole of atoms
Crystal system: monoclinic

---

(18)
First-principles (GGA-PBE) data for crystalline AsW3N2 at its relaxed geometry, as listed in OQMD.

Cell: 3.246 3.246 16.335 Å, 90.00 90.00 120.00°
Positions (direct):
As 0.000 0.000 0.750
W 0.000 0.000 0.000
N 0.333 0.667 0.432
N 0.667 0.333 0.932
As 0.000 0.000 0.250
N 0.667 0.333 0.568
N 0.333 0.667 0.068
W 0.333 0.667 0.634
W 0.000 0.000 0.500
W 0.667 0.333 0.134
W 0.333 0.667 0.866
W 0.667 0.333 0.366

Properties
Space group: P6_3/mmc, No. 194
Spin magnetization: 0.02 μB per cell
Theoretical density: 14.579 g/cm³
VASP energy: -116.25 eV per cell
Crystal system: hexagonal